CsIn3N after structural relaxation, computed with PBE.

a b c (Å): 5.2782 5.2782 5.2782
angles (deg): 90.00 90.00 90.00
Element x y z (fractional)
1 Cs 0.0000 0.0000 0.0000
2 In 0.0000 0.5000 0.5000
3 In 0.5000 0.0000 0.5000
4 In 0.5000 0.5000 0.0000
5 N 0.5000 0.5000 0.5000

Values from the calculation:
Its space group is Pm-3m (221). The value obtained for the relative energy among the computed polymorphs is 0 meV/atom. The value obtained for the final energy is -0.1031 Ha/atom. The uncorrected formation energy is 3.4 eV/f.u. For the total magnetic moment, the calculation gives 0.000 μB/atom. The calculation puts the calculated volume at 29.41 Å³ per atom.